Below is an optimized crystal structure of Pu3S, with properties calculated at the PBE level.

Cell lengths 4.797, 3.456, 5.037 Å; angles 90.00, 90.00, 90.00 degrees
Positions (direct):
S 0.000 0.500 0.490
Pu 0.500 0.000 0.404
Pu 0.000 0.000 0.978
Pu 0.500 0.500 0.795

VASP energy: -0.4499 hartree per atom
D(E_F): 14.8 states/eV/cell
Formation energy (no corrections): -462.0 meV per atom
Density: 15.19 g/cm³